[1]
# CeSmY2N4 | Alexandria via LeMat-Bulk | PBE-GGA | relaxed
data_CeSmY2N4
_symmetry_space_group_name_H-M 'P 1 2/m 1'
_symmetry_Int_Tables_number 10
_cell_length_a 6.0980
_cell_length_b 3.5294
_cell_length_c 6.1012
_cell_angle_alpha 90.00
_cell_angle_beta 109.32
_cell_angle_gamma 90.00
loop_
_symmetry_equiv_pos_as_xyz
'x,y,z'
'-x,-y,-z'
'-x,y,-z'
'x,-y,z'
loop_
_atom_site_label
_atom_site_type_symbol
_atom_site_fract_x
_atom_site_fract_y
_atom_site_fract_z
Ce1 Ce 0.0000 0.0000 0.0000
Sm1 Sm 0.0000 0.5000 0.5000
Y1 Y 0.5000 0.0000 0.5000
Y2 Y 0.5000 0.5000 0.0000
N1 N 0.2523 0.0000 0.7571
N2 N 0.2516 0.5000 0.2465
# E_form (uncorrected) = -1.59 eV per atom
# DOS at the Fermi energy = 3.5 states/eV/cell
# Total magnetization = 0.17 μB per formula unit
# DFT total energy = -8.703 eV per atom


[2]
# Ce2Sm3YN6 | Alexandria via LeMat-Bulk | PBE-GGA | relaxed
data_Ce2Sm3YN6
_symmetry_space_group_name_H-M 'C 1 2/m 1'
_symmetry_Int_Tables_number 12
_cell_length_a 6.1617
_cell_length_b 10.6752
_cell_length_c 6.1646
_cell_angle_alpha 90.00
_cell_angle_beta 109.44
_cell_angle_gamma 90.00
loop_
_symmetry_equiv_pos_as_xyz
'x,y,z'
'-x,-y,-z'
'-x,y,-z'
'x,-y,z'
'x+1/2,y+1/2,z'
'-x+1/2,-y+1/2,-z'
'-x+1/2,y+1/2,-z'
'x+1/2,-y+1/2,z'
loop_
_atom_site_label
_atom_site_type_symbol
_atom_site_fract_x
_atom_site_fract_y
_atom_site_fract_z
Ce1 Ce 0.0000 0.1668 0.0000
Sm1 Sm 0.0000 0.0000 0.5000
Sm2 Sm 0.0000 0.3339 0.5000
Y1 Y 0.0000 0.5000 0.0000
N1 N 0.2450 0.0000 0.2415
N2 N 0.2477 0.3321 0.2396
# E_form (uncorrected) = -1.54 eV per atom
# DOS at the Fermi energy = 10.1 states/eV/cell
# Total magnetization = 0.00 μB per formula unit
# DFT total energy = -8.408 eV per atom


[3]
# Ce3Sm2YN6 | Alexandria via LeMat-Bulk | PBE-GGA | relaxed
data_Ce3Sm2YN6
_symmetry_space_group_name_H-M 'C 1 2/m 1'
_symmetry_Int_Tables_number 12
_cell_length_a 6.1666
_cell_length_b 10.6789
_cell_length_c 6.1558
_cell_angle_alpha 90.00
_cell_angle_beta 109.51
_cell_angle_gamma 90.00
loop_
_symmetry_equiv_pos_as_xyz
'x,y,z'
'-x,-y,-z'
'-x,y,-z'
'x,-y,z'
'x+1/2,y+1/2,z'
'-x+1/2,-y+1/2,-z'
'-x+1/2,y+1/2,-z'
'x+1/2,-y+1/2,z'
loop_
_atom_site_label
_atom_site_type_symbol
_atom_site_fract_x
_atom_site_fract_y
_atom_site_fract_z
Ce1 Ce 0.0000 0.0000 0.0000
Ce2 Ce 0.0000 0.3336 0.0000
Sm1 Sm 0.0000 0.1666 0.5000
Y1 Y 0.0000 0.5000 0.5000
N1 N 0.2420 0.5000 0.2432
N2 N 0.2491 0.3362 0.7561
# E_form (uncorrected) = -1.53 eV per atom
# DOS at the Fermi energy = 15.3 states/eV/cell
# Total magnetization = 0.47 μB per formula unit
# DFT total energy = -8.505 eV per atom


[4]
# CeSm2YN4 | Alexandria via LeMat-Bulk | PBE-GGA | relaxed
data_CeSm2YN4
_symmetry_space_group_name_H-M 'P 1 2/m 1'
_symmetry_Int_Tables_number 10
_cell_length_a 6.1356
_cell_length_b 3.5565
_cell_length_c 6.1472
_cell_angle_alpha 90.00
_cell_angle_beta 109.30
_cell_angle_gamma 90.00
loop_
_symmetry_equiv_pos_as_xyz
'x,y,z'
'-x,-y,-z'
'-x,y,-z'
'x,-y,z'
loop_
_atom_site_label
_atom_site_type_symbol
_atom_site_fract_x
_atom_site_fract_y
_atom_site_fract_z
Ce1 Ce 0.0000 0.0000 0.0000
Sm1 Sm 0.0000 0.5000 0.5000
Sm2 Sm 0.5000 0.0000 0.5000
Y1 Y 0.5000 0.5000 0.0000
N1 N 0.2457 0.5000 0.2404
N2 N 0.2498 0.0000 0.7596
# E_form (uncorrected) = -1.55 eV per atom
# DOS at the Fermi energy = 3.1 states/eV/cell
# Total magnetization = 0.00 μB per formula unit
# DFT total energy = -8.442 eV per atom


[5]
# CeSmYN3 | Alexandria via LeMat-Bulk | PBE-GGA | relaxed
data_CeSmYN3
_symmetry_space_group_name_H-M 'P 1 21/m 1'
_symmetry_Int_Tables_number 11
_cell_length_a 5.9991
_cell_length_b 3.4148
_cell_length_c 9.4739
_cell_angle_alpha 90.00
_cell_angle_beta 94.32
_cell_angle_gamma 90.00
loop_
_symmetry_equiv_pos_as_xyz
'x,y,z'
'-x,-y,-z'
'-x,y+1/2,-z'
'x,-y+1/2,z'
loop_
_atom_site_label
_atom_site_type_symbol
_atom_site_fract_x
_atom_site_fract_y
_atom_site_fract_z
Ce1 Ce 0.2225 0.2500 0.2371
Sm1 Sm 0.3081 0.2500 0.8792
Y1 Y 0.2595 0.7500 0.5554
N1 N 0.0185 0.2500 0.6646
N2 N 0.2796 0.7500 0.0494
N3 N 0.4832 0.7500 0.3495
# E_form (uncorrected) = -1.33 eV per atom
# DOS at the Fermi energy = 8.4 states/eV/cell
# Total magnetization = 0.77 μB per formula unit
# DFT total energy = -8.344 eV per atom


[6]
# Ce2SmZnN | Alexandria via LeMat-Bulk | PBE-GGA | relaxed
data_Ce2SmZnN
_symmetry_space_group_name_H-M 'P 4/m m m'
_symmetry_Int_Tables_number 123
_symmetry_space_group_name_Hall '-P 4 2'
_cell_length_a 4.8234
_cell_length_b 4.8234
_cell_length_c 4.9583
_cell_angle_alpha 90.00
_cell_angle_beta 90.00
_cell_angle_gamma 90.00
loop_
_atom_site_label
_atom_site_type_symbol
_atom_site_fract_x
_atom_site_fract_y
_atom_site_fract_z
Ce1 Ce 0.0000 0.5000 0.0000
Sm1 Sm 0.0000 0.0000 0.5000
Zn1 Zn 0.5000 0.5000 0.5000
N1 N 0.0000 0.0000 0.0000
# E_form (uncorrected) = -0.63 eV per atom
# DOS at the Fermi energy = 10.2 states/eV/cell
# Total magnetization = 1.25 μB per formula unit
# DFT total energy = -5.871 eV per atom


[7]
# CeSm2ZrN4 | Alexandria via LeMat-Bulk | PBE-GGA | relaxed
data_CeSm2ZrN4
_symmetry_space_group_name_H-M 'P 1 2/m 1'
_symmetry_Int_Tables_number 10
_cell_length_a 6.0467
_cell_length_b 3.4809
_cell_length_c 6.0470
_cell_angle_alpha 90.00
_cell_angle_beta 109.09
_cell_angle_gamma 90.00
loop_
_symmetry_equiv_pos_as_xyz
'x,y,z'
'-x,-y,-z'
'-x,y,-z'
'x,-y,z'
loop_
_atom_site_label
_atom_site_type_symbol
_atom_site_fract_x
_atom_site_fract_y
_atom_site_fract_z
Ce1 Ce 0.0000 0.0000 0.0000
Sm1 Sm 0.0000 0.5000 0.5000
Sm2 Sm 0.5000 0.0000 0.5000
Zr1 Zr 0.5000 0.5000 0.0000
N1 N 0.2580 0.5000 0.2317
N2 N 0.2674 0.0000 0.7736
# E_form (uncorrected) = -1.55 eV per atom
# DOS at the Fermi energy = 3.9 states/eV/cell
# Total magnetization = 0.00 μB per formula unit
# DFT total energy = -8.703 eV per atom


[8]
# Ce3SmZr2N6 | Alexandria via LeMat-Bulk | PBE-GGA | relaxed
data_Ce3SmZr2N6
_symmetry_space_group_name_H-M 'C 1 2/m 1'
_symmetry_Int_Tables_number 12
_cell_length_a 5.9671
_cell_length_b 10.3300
_cell_length_c 6.0354
_cell_angle_alpha 90.00
_cell_angle_beta 109.22
_cell_angle_gamma 90.00
loop_
_symmetry_equiv_pos_as_xyz
'x,y,z'
'-x,-y,-z'
'-x,y,-z'
'x,-y,z'
'x+1/2,y+1/2,z'
'-x+1/2,-y+1/2,-z'
'-x+1/2,y+1/2,-z'
'x+1/2,-y+1/2,z'
loop_
_atom_site_label
_atom_site_type_symbol
_atom_site_fract_x
_atom_site_fract_y
_atom_site_fract_z
Ce1 Ce 0.0000 0.0000 0.0000
Ce2 Ce 0.0000 0.3345 0.0000
Sm1 Sm 0.0000 0.5000 0.5000
Zr1 Zr 0.0000 0.1667 0.5000
N1 N 0.2249 0.0000 0.7304
N2 N 0.2461 0.1756 0.2657
# E_form (uncorrected) = -1.58 eV per atom
# DOS at the Fermi energy = 15.4 states/eV/cell
# Total magnetization = 0.00 μB per formula unit
# DFT total energy = -9.048 eV per atom


[9]
# Ce2Sm3ZrN6 | Alexandria via LeMat-Bulk | PBE-GGA | relaxed
data_Ce2Sm3ZrN6
_symmetry_space_group_name_H-M 'C 1 2/m 1'
_symmetry_Int_Tables_number 12
_cell_length_a 6.0960
_cell_length_b 10.5506
_cell_length_c 6.0919
_cell_angle_alpha 90.00
_cell_angle_beta 109.42
_cell_angle_gamma 90.00
loop_
_symmetry_equiv_pos_as_xyz
'x,y,z'
'-x,-y,-z'
'-x,y,-z'
'x,-y,z'
'x+1/2,y+1/2,z'
'-x+1/2,-y+1/2,-z'
'-x+1/2,y+1/2,-z'
'x+1/2,-y+1/2,z'
loop_
_atom_site_label
_atom_site_type_symbol
_atom_site_fract_x
_atom_site_fract_y
_atom_site_fract_z
Ce1 Ce 0.0000 0.1668 0.0000
Sm1 Sm 0.0000 0.0000 0.5000
Sm2 Sm 0.0000 0.3345 0.5000
Zr1 Zr 0.0000 0.5000 0.0000
N1 N 0.2371 0.3399 0.2308
N2 N 0.2418 0.5000 0.7644
# E_form (uncorrected) = -1.54 eV per atom
# DOS at the Fermi energy = 13.0 states/eV/cell
# Total magnetization = 0.00 μB per formula unit
# DFT total energy = -8.584 eV per atom


[10]
# Ce2SmZr3N6 | Alexandria via LeMat-Bulk | PBE-GGA | relaxed
data_Ce2SmZr3N6
_symmetry_space_group_name_H-M 'C 1 2/m 1'
_symmetry_Int_Tables_number 12
_cell_length_a 14.9224
_cell_length_b 3.3729
_cell_length_c 6.8775
_cell_angle_alpha 90.00
_cell_angle_beta 104.59
_cell_angle_gamma 90.00
loop_
_symmetry_equiv_pos_as_xyz
'x,y,z'
'-x,-y,-z'
'-x,y,-z'
'x,-y,z'
'x+1/2,y+1/2,z'
'-x+1/2,-y+1/2,-z'
'-x+1/2,y+1/2,-z'
'x+1/2,-y+1/2,z'
loop_
_atom_site_label
_atom_site_type_symbol
_atom_site_fract_x
_atom_site_fract_y
_atom_site_fract_z
Ce1 Ce 0.1670 0.0000 0.3337
Sm1 Sm 0.0000 0.5000 0.0000
Zr1 Zr 0.0000 0.5000 0.5000
Zr2 Zr 0.1659 0.0000 0.8333
N1 N 0.0046 0.0000 0.7337
N2 N 0.1604 0.5000 0.5988
N3 N 0.1728 0.5000 0.0708
# E_form (uncorrected) = -1.64 eV per atom
# DOS at the Fermi energy = 11.5 states/eV/cell
# Total magnetization = 0.00 μB per formula unit
# DFT total energy = -9.319 eV per atom


[11]
# CeSmZr2N4 | Alexandria via LeMat-Bulk | PBE-GGA | relaxed
data_CeSmZr2N4
_symmetry_space_group_name_H-M 'P 1 2/m 1'
_symmetry_Int_Tables_number 10
_cell_length_a 5.8589
_cell_length_b 3.3753
_cell_length_c 5.9782
_cell_angle_alpha 90.00
_cell_angle_beta 109.01
_cell_angle_gamma 90.00
loop_
_symmetry_equiv_pos_as_xyz
'x,y,z'
'-x,-y,-z'
'-x,y,-z'
'x,-y,z'
loop_
_atom_site_label
_atom_site_type_symbol
_atom_site_fract_x
_atom_site_fract_y
_atom_site_fract_z
Ce1 Ce 0.0000 0.0000 0.0000
Sm1 Sm 0.5000 0.5000 0.0000
Zr1 Zr 0.0000 0.5000 0.5000
Zr2 Zr 0.5000 0.0000 0.5000
N1 N 0.2378 0.0000 0.7236
N2 N 0.2565 0.5000 0.2758
# E_form (uncorrected) = -1.63 eV per atom
# DOS at the Fermi energy = 3.8 states/eV/cell
# Total magnetization = 0.00 μB per formula unit
# DFT total energy = -9.261 eV per atom


[12]
# Ce3SnN | Alexandria via LeMat-Bulk | PBE-GGA | relaxed
data_Ce3SnN
_symmetry_space_group_name_H-M 'P m -3 m'
_symmetry_Int_Tables_number 221
_symmetry_space_group_name_Hall '-P 4 2 3'
_cell_length_a 4.9005
_cell_length_b 4.9005
_cell_length_c 4.9005
_cell_angle_alpha 90.00
_cell_angle_beta 90.00
_cell_angle_gamma 90.00
loop_
_atom_site_label
_atom_site_type_symbol
_atom_site_fract_x
_atom_site_fract_y
_atom_site_fract_z
Ce1 Ce 0.0000 0.0000 0.5000
Sn1 Sn 0.5000 0.5000 0.5000
N1 N 0.0000 0.0000 0.0000
# E_form (uncorrected) = -0.97 eV per atom
# DOS at the Fermi energy = 7.4 states/eV/cell
# Total magnetization = 2.00 μB per formula unit
# DFT total energy = -7.001 eV per atom


[13]
# Ce5Sn3N | Alexandria via LeMat-Bulk | PBE-GGA | relaxed
data_Ce5Sn3N
_symmetry_space_group_name_H-M 'P 63/m c m'
_symmetry_Int_Tables_number 193
_symmetry_space_group_name_Hall '-P 6c 2'
_cell_length_a 9.3160
_cell_length_b 9.3160
_cell_length_c 6.2856
_cell_angle_alpha 90.00
_cell_angle_beta 90.00
_cell_angle_gamma 120.00
loop_
_atom_site_label
_atom_site_type_symbol
_atom_site_fract_x
_atom_site_fract_y
_atom_site_fract_z
Ce1 Ce 0.0000 0.2142 0.2500
Ce2 Ce 0.3333 0.6667 0.0000
Sn1 Sn 0.0000 0.3985 0.7500
N1 N 0.0000 0.0000 0.0000
# E_form (uncorrected) = -0.81 eV per atom
# DOS at the Fermi energy = 45.7 states/eV/cell
# Total magnetization = 4.43 μB per formula unit
# DFT total energy = -6.361 eV per atom


[14]
# Ce6Sn2N | Alexandria via LeMat-Bulk | PBE-GGA | relaxed
data_Ce6Sn2N
_symmetry_space_group_name_H-M 'I 4/m m m'
_symmetry_Int_Tables_number 139
_symmetry_space_group_name_Hall '-I 4 2'
_cell_length_a 6.8454
_cell_length_b 6.8454
_cell_length_c 9.7264
_cell_angle_alpha 90.00
_cell_angle_beta 90.00
_cell_angle_gamma 90.00
loop_
_atom_site_label
_atom_site_type_symbol
_atom_site_fract_x
_atom_site_fract_y
_atom_site_fract_z
Ce1 Ce 0.0000 0.0000 0.2491
Ce2 Ce 0.2488 0.2488 0.5000
Sn1 Sn 0.0000 0.5000 0.2500
N1 N 0.0000 0.0000 0.0000
# E_form (uncorrected) = -0.67 eV per atom
# DOS at the Fermi energy = 42.4 states/eV/cell
# Total magnetization = 5.72 μB per formula unit
# DFT total energy = -6.438 eV per atom


[15]
# Ce7SnN2 | Alexandria via LeMat-Bulk | PBE-GGA | relaxed
data_Ce7SnN2
_symmetry_space_group_name_H-M 'C m m m'
_symmetry_Int_Tables_number 65
_symmetry_space_group_name_Hall '-C 2 2'
_cell_length_a 7.6573
_cell_length_b 13.1171
_cell_length_c 4.8326
_cell_angle_alpha 90.00
_cell_angle_beta 90.00
_cell_angle_gamma 90.00
loop_
_atom_site_label
_atom_site_type_symbol
_atom_site_fract_x
_atom_site_fract_y
_atom_site_fract_z
Ce1 Ce 0.0000 0.0000 0.0000
Ce2 Ce 0.0000 0.1998 0.5000
Ce3 Ce 0.1883 0.3628 0.0000
Sn1 Sn 0.0000 0.5000 0.5000
N1 N 0.0000 0.2016 0.0000
# E_form (uncorrected) = -0.42 eV per atom
# DOS at the Fermi energy = 48.3 states/eV/cell
# Total magnetization = 6.01 μB per formula unit
# DFT total energy = -6.643 eV per atom


[16]
# Ce12Sn3N5 | Alexandria via LeMat-Bulk | PBE-GGA | relaxed
data_Ce12Sn3N5
_symmetry_space_group_name_H-M 'I a -3 d'
_symmetry_Int_Tables_number 230
_symmetry_space_group_name_Hall '-I 4bd 2c 3'
_cell_length_a 16.0129
_cell_length_b 16.0129
_cell_length_c 16.0129
_cell_angle_alpha 90.00
_cell_angle_beta 90.00
_cell_angle_gamma 90.00
loop_
_atom_site_label
_atom_site_type_symbol
_atom_site_fract_x
_atom_site_fract_y
_atom_site_fract_z
Ce1 Ce 0.0403 0.0496 0.6450
Sn1 Sn 0.0000 0.2500 0.1250
N1 N 0.0000 0.0000 0.0000
N2 N 0.0000 0.2500 0.3750
# E_form (uncorrected) = -0.78 eV per atom
# DOS at the Fermi energy = 465.1 states/eV/cell
# Total magnetization = 13.99 μB per formula unit
# DFT total energy = -7.023 eV per atom


[17]
# Sr4Ce3SnN8 | Alexandria via LeMat-Bulk | PBE-GGA | relaxed
data_Sr4Ce3SnN8
_symmetry_space_group_name_H-M 'R -3 m'
_symmetry_Int_Tables_number 166
_symmetry_space_group_name_Hall '-R 3 2"'
_cell_length_a 7.1864
_cell_length_b 7.1864
_cell_length_c 18.0364
_cell_angle_alpha 90.00
_cell_angle_beta 90.00
_cell_angle_gamma 120.00
loop_
_atom_site_label
_atom_site_type_symbol
_atom_site_fract_x
_atom_site_fract_y
_atom_site_fract_z
Sr1 Sr 0.0000 0.0000 0.0000
Sr2 Sr 0.0000 0.5000 0.0000
Ce1 Ce 0.0000 0.5000 0.5000
Sn1 Sn 0.0000 0.0000 0.5000
N1 N 0.0000 0.0000 0.2343
N2 N 0.0006 0.5003 0.2379
# E_form (uncorrected) = -0.92 eV per atom
# Total magnetization = 0.00 μB per formula unit
# DFT total energy = -6.862 eV per atom


[18]
# SrCeSnN3 | Alexandria via LeMat-Bulk | PBE-GGA | relaxed
data_SrCeSnN3
_symmetry_space_group_name_H-M 'P 1 21/m 1'
_symmetry_Int_Tables_number 11
_cell_length_a 7.3607
_cell_length_b 3.5335
_cell_length_c 8.8055
_cell_angle_alpha 90.00
_cell_angle_beta 90.13
_cell_angle_gamma 90.00
loop_
_symmetry_equiv_pos_as_xyz
'x,y,z'
'-x,-y,-z'
'-x,y+1/2,-z'
'x,-y+1/2,z'
loop_
_atom_site_label
_atom_site_type_symbol
_atom_site_fract_x
_atom_site_fract_y
_atom_site_fract_z
Sr1 Sr 0.1347 0.2500 0.3139
Ce1 Ce 0.3856 0.7500 0.6441
Sn1 Sn 0.1701 0.2500 0.9287
N1 N 0.1336 0.7500 0.0699
N2 N 0.1637 0.2500 0.6763
N3 N 0.4011 0.7500 0.3962
# E_form (uncorrected) = -0.57 eV per atom
# DOS at the Fermi energy = 5.0 states/eV/cell
# Total magnetization = 0.00 μB per formula unit
# DFT total energy = -6.673 eV per atom